Na2AgPd5Au2: optimized geometry, PBE.

Structure (POSCAR):
```
Na2AgPd5Au2
1.0
9.181 0.000 0.000
0.000 9.181 0.000
0.000 0.000 4.366
Na Ag Pd Au
4 2 10 4
direct
0.173 0.327 0.000 Na
0.327 0.827 0.000 Na
0.673 0.173 0.000 Na
0.827 0.673 0.000 Na
0.000 0.000 0.000 Ag
0.500 0.500 0.000 Ag
0.000 0.500 0.500 Pd
0.071 0.801 0.500 Pd
0.199 0.071 0.500 Pd
0.301 0.571 0.500 Pd
0.429 0.301 0.500 Pd
0.500 0.000 0.500 Pd
0.571 0.699 0.500 Pd
0.699 0.429 0.500 Pd
0.801 0.929 0.500 Pd
0.929 0.199 0.500 Pd
0.124 0.624 0.000 Au
0.376 0.124 0.000 Au
0.624 0.876 0.000 Au
0.876 0.376 0.000 Au
```

Output
raw total energy = -3.848 eV/atom
SG = P4/mbm, No. 127